## P
DFT (PBE) results for crystalline BaTlSi2 at its relaxed geometry.

Its symmetry is No. 166. As for the density: 5.630 g/cm³.

a b c (Å): 6.360 6.360 6.360
angles (deg): 45.06 45.06 45.06
Element x y z (fractional)
1 Tl 0.250 0.250 0.250
2 Si 0.552 0.552 0.552
3 Si 0.948 0.948 0.948
4 Ba 0.750 0.750 0.750

=====

## Q
DFT (PBE) results for crystalline BaTlSi2 at its relaxed geometry.

Its symmetry is No. 119. As for the density: 6.130 g/cm³.

a b c (Å): 5.759 5.759 5.759
angles (deg): 130.54 130.54 72.55
Element x y z (fractional)
1 Ba 0.750 0.250 0.500
2 Si 0.250 0.750 0.500
3 Si 0.000 0.000 0.000
4 Tl 0.500 0.500 0.000

=====

Relative energies, meV per atom: P 0; Q 175.

=====

## P
DFT (PBE) results for crystalline BaTl3Si at its relaxed geometry.

Its symmetry is No. 221. As for the density: 7.653 g/cm³.

a b c (Å): 5.528 5.528 5.528
angles (deg): 90.00 90.00 90.00
Element x y z (fractional)
1 Tl 0.500 0.000 0.000
2 Tl 0.000 0.500 0.000
3 Tl 0.000 0.000 0.500
4 Ba 0.500 0.500 0.500
5 Si 0.000 0.000 0.000

=====

## Q
DFT (PBE) results for crystalline BaTl3Si at its relaxed geometry.

Its symmetry is No. 221. As for the density: 5.148 g/cm³.

a b c (Å): 6.309 6.309 6.309
angles (deg): 90.00 90.00 90.00
Element x y z (fractional)
1 Ba 0.000 0.000 0.000
2 Tl 0.000 0.000 0.500
3 Tl 0.500 0.000 0.000
4 Tl 0.000 0.500 0.000
5 Si 0.500 0.500 0.500

=====

Relative energies, meV per atom: P 0; Q 1055.

=====

## P
DFT (PBE) results for crystalline Ba4TlSi at its relaxed geometry.

Its symmetry is No. 216. As for the density: 5.041 g/cm³.

a b c (Å): 7.142 7.142 7.142
angles (deg): 60.00 60.00 60.00
Element x y z (fractional)
1 Tl 0.000 0.000 0.000
2 Ba 0.376 0.376 0.376
3 Ba 0.376 0.872 0.376
4 Ba 0.872 0.376 0.376
5 Ba 0.376 0.376 0.872
6 Si 0.750 0.750 0.750

=====

## Q
DFT (PBE) results for crystalline Ba4TlSi at its relaxed geometry.

Its symmetry is No. 15. As for the density: 4.720 g/cm³.

a b c (Å): 7.520 9.446 9.446
angles (deg): 111.49 105.44 105.44
Element x y z (fractional)
1 Ba 0.927 0.054 0.717
2 Ba 0.573 0.283 0.946
3 Ba 0.073 0.946 0.283
4 Ba 0.803 0.651 0.777
5 Ba 0.303 0.777 0.651
6 Ba 0.427 0.717 0.054
7 Ba 0.197 0.349 0.223
8 Ba 0.697 0.223 0.349
9 Tl 0.250 0.367 0.633
10 Tl 0.750 0.633 0.367
11 Si 0.750 0.001 0.999
12 Si 0.250 0.999 0.001

=====

Relative energies, meV per atom: P 751; Q 0.

=====

## P
DFT (PBE) results for crystalline Ba2SiW at its relaxed geometry.

Its symmetry is No. 216. As for the density: 7.164 g/cm³.

a b c (Å): 5.423 5.423 5.423
angles (deg): 60.00 60.00 60.00
Element x y z (fractional)
1 Ba 0.000 0.000 0.000
2 Ba 0.250 0.250 0.250
3 W 0.750 0.750 0.750
4 Si 0.500 0.500 0.500

=====

## Q
DFT (PBE) results for crystalline Ba2SiW at its relaxed geometry.

Its symmetry is No. 139. As for the density: 6.572 g/cm³.

a b c (Å): 5.923 5.923 5.120
angles (deg): 64.43 64.43 51.22
Element x y z (fractional)
1 Si 0.750 0.750 0.750
2 W 0.250 0.250 0.250
3 Ba 0.500 0.500 0.500
4 Ba 0.000 0.000 0.000

=====

## R
DFT (PBE) results for crystalline Ba2SiW at its relaxed geometry.

Its symmetry is No. 160. As for the density: 5.523 g/cm³.

a b c (Å): 9.219 9.219 9.219
angles (deg): 27.38 27.38 27.38
Element x y z (fractional)
1 Ba 0.211 0.211 0.211
2 Ba 0.039 0.039 0.039
3 Si 0.458 0.458 0.458
4 W 0.792 0.792 0.792

=====

Relative energies, meV per atom: P 817; Q 801; R 0.

=====

## P
DFT (PBE) results for crystalline Ba2SiW at its relaxed geometry.

Its symmetry is No. 47. As for the density: 6.994 g/cm³.

a b c (Å): 4.823 3.212 8.118
angles (deg): 66.73 90.00 90.00
Element x y z (fractional)
1 W 0.500 0.750 0.750
2 Si 0.500 0.250 0.250
3 Ba 0.000 0.509 0.492
4 Ba 0.000 0.991 0.008

=====

## Q
DFT (PBE) results for crystalline Ba2SiW at its relaxed geometry.

Its symmetry is No. 122. As for the density: 4.568 g/cm³.

a b c (Å): 12.128 12.128 8.907
angles (deg): 47.09 47.09 90.00
Element x y z (fractional)
1 W 0.750 0.250 0.500
2 W 0.000 0.000 0.000
3 Ba 0.375 0.548 0.750
4 Ba 0.875 0.702 0.750
5 Ba 0.452 0.125 0.250
6 Ba 0.298 0.625 0.250
7 Si 0.500 0.500 0.000
8 Si 0.250 0.750 0.500

=====

Relative energies, meV per atom: P 314; Q 0.

=====

## P
DFT (PBE) results for crystalline Ba2SiW at its relaxed geometry.

Its symmetry is No. 225. As for the density: 6.245 g/cm³.

a b c (Å): 5.677 5.677 5.677
angles (deg): 60.00 60.00 60.00
Element x y z (fractional)
1 W 0.500 0.500 0.500
2 Si 0.000 0.000 0.000
3 Ba 0.250 0.250 0.250
4 Ba 0.750 0.750 0.750

=====

## Q
DFT (PBE) results for crystalline Ba2SiW at its relaxed geometry.

Its symmetry is No. 99. As for the density: 6.534 g/cm³.

a b c (Å): 3.562 3.562 9.747
angles (deg): 90.00 90.00 90.00
Element x y z (fractional)
1 W 0.500 0.500 0.656
2 Si 0.000 0.000 0.588
3 Ba 0.500 0.500 0.344
4 Ba 0.000 0.000 0.912

=====

## R
DFT (PBE) results for crystalline Ba2SiW at its relaxed geometry.

Its symmetry is No. 166. As for the density: 7.168 g/cm³.

a b c (Å): 11.149 11.149 11.149
angles (deg): 17.77 17.77 17.77
Element x y z (fractional)
1 W 0.750 0.750 0.750
2 Ba 0.501 0.501 0.501
3 Ba 0.999 0.999 0.999
4 Si 0.250 0.250 0.250

=====

## S
DFT (PBE) results for crystalline Ba2SiW at its relaxed geometry.

Its symmetry is No. 8. As for the density: 6.603 g/cm³.

a b c (Å): 6.420 6.420 5.643
angles (deg): 66.97 66.97 35.25
Element x y z (fractional)
1 Ba 0.784 0.784 0.701
2 Ba 0.977 0.977 0.034
3 W 0.183 0.183 0.299
4 Si 0.555 0.555 0.467

=====

Relative energies, meV per atom: P 719; Q 0; R 939; S 161.